a:
Below is a geometry-optimized RbZrCu3S4 structure, with properties calculated at the GGA-PBE level.

For the magnetization, the calculation gives 0.003 μB/f.u. As for the calculated density: 4.08 g/cm³.

The space group is P2_1/m (No. 11) and the conventional cell measures 5.7265, 7.3671 and 9.8717 Å, with angles of 90.00, 104.17 and 90.00 degrees. The asymmetric unit holds Rb at (0.2169, 0.2500, 0.3892), Zr at (0.1236, 0.2500, 0.8061), Cu at (0.2826, 0.5503, 0.0181), Cu at (0.4115, 0.7500, 0.2445), S at (0.0444, 0.2500, 0.0404), S at (0.1973, 0.7500, 0.4043) and S at (0.3855, 0.5091, 0.7953).



b:
Below is a geometry-optimized RbZrCu3S4 structure, with properties calculated at the GGA-PBE level.

For the magnetization, the calculation gives 0.001 μB/f.u. As for the calculated density: 3.70 g/cm³.

The space group is P-43m (No. 215) and the conventional cell measures 6.0599, 6.0599 and 6.0599 Å, with angles of 90.00, 90.00 and 90.00 degrees. The asymmetric unit holds Rb at (0.0000, 0.0000, 0.0000), Zr at (0.5000, 0.5000, 0.5000), Cu at (0.0000, 0.5000, 0.5000) and S at (0.2756, 0.2756, 0.2756).



It comes down to a, which is 146 meV/atom more stable than the next structure.



a:
Below is a geometry-optimized RbTbCu3Se4 structure, with properties calculated at the GGA-PBE level.

For the magnetization, the calculation gives 0.824 μB/f.u. As for the calculated density: 4.63 g/cm³.

The space group is P-43m (No. 215) and the conventional cell measures 6.4580, 6.4580 and 6.4580 Å, with angles of 90.00, 90.00 and 90.00 degrees. The asymmetric unit holds Rb at (0.0000, 0.0000, 0.0000), Tb at (0.5000, 0.5000, 0.5000), Cu at (0.0000, 0.5000, 0.5000) and Se at (0.2681, 0.2681, 0.2681).



b:
Below is a geometry-optimized RbTbCu3Se4 structure, with properties calculated at the GGA-PBE level.

For the magnetization, the calculation gives 0.015 μB/f.u. As for the calculated density: 5.42 g/cm³.

The space group is P2_1/m (No. 11) and the conventional cell measures 6.0591, 7.5326 and 10.3796 Å, with angles of 90.00, 103.84 and 90.00 degrees. The asymmetric unit holds Rb at (0.2165, 0.2500, 0.4085), Tb at (0.1051, 0.2500, 0.8149), Cu at (0.3080, 0.5705, 0.0187), Cu at (0.4198, 0.7500, 0.2498), Se at (0.0233, 0.2500, 0.0665), Se at (0.2175, 0.7500, 0.4162) and Se at (0.4007, 0.5207, 0.7931).



It comes down to b, which is 258 meV/atom more stable than the next structure.



a:
Below is a geometry-optimized RbCuTcSe3 structure, with properties calculated at the GGA-PBE level.

For the magnetization, the calculation gives 2.435 μB/f.u. As for the calculated density: 5.55 g/cm³.

The space group is Cmcm (No. 63) and the conventional cell measures 3.7724, 15.5825 and 9.8440 Å, with angles of 90.00, 90.00 and 90.00 degrees. The asymmetric unit holds Rb at (0.0000, 0.2443, 0.2500), Cu at (0.0000, 0.4687, 0.7500), Tc at (0.0000, 0.0000, 0.0000), Se at (0.0000, 0.0654, 0.7500) and Se at (0.0000, 0.3888, 0.5426).



b:
Below is a geometry-optimized RbCuTcSe3 structure, with properties calculated at the GGA-PBE level.

For the magnetization, the calculation gives 0.144 μB/f.u. As for the calculated density: 5.53 g/cm³.

The space group is P2_1/m (No. 11) and the conventional cell measures 8.3101, 3.8189 and 10.0472 Å, with angles of 90.00, 114.33 and 90.00 degrees. The asymmetric unit holds Rb at (0.0156, 0.2500, 0.2753), Cu at (0.4731, 0.7500, 0.3919), Tc at (0.4791, 0.2500, 0.1710), Se at (0.2640, 0.7500, 0.1459), Se at (0.3203, 0.7500, 0.5622) and Se at (0.3555, 0.2500, 0.8868).



It comes down to b, which is 37 meV/atom more stable than the next structure.



a:
Below is a geometry-optimized RbCuSnTe3 structure, with properties calculated at the GGA-PBE level.

As for the calculated density: 5.27 g/cm³.

The space group is Pnma (No. 62) and the conventional cell measures 16.6304, 4.3323 and 11.3692 Å, with angles of 90.00, 90.00 and 90.00 degrees. The asymmetric unit holds Rb at (0.2293, 0.2500, 0.0098), Cu at (0.0065, 0.7500, 0.0690), Sn at (0.0214, 0.2500, 0.3434), Te at (0.0799, 0.7500, 0.8698), Te at (0.0967, 0.2500, 0.5739) and Te at (0.1213, 0.7500, 0.2353).



b:
Below is a geometry-optimized RbCuSnTe3 structure, with properties calculated at the GGA-PBE level.

As for the calculated density: 5.22 g/cm³.

The space group is P2_1/m (No. 11) and the conventional cell measures 9.3812, 4.3269 and 11.0200 Å, with angles of 90.00, 112.41 and 90.00 degrees. The asymmetric unit holds Rb at (0.2403, 0.2500, 0.1990), Cu at (0.4372, 0.2500, 0.9270), Sn at (0.1837, 0.7500, 0.6461), Te at (0.0502, 0.7500, 0.3600), Te at (0.2696, 0.7500, 0.9349) and Te at (0.4134, 0.2500, 0.6785).



It comes down to a, which is 9 meV/atom more stable than the next structure.